[1]
A geometry-optimized CdHgPb5 structure. Source: Alexandria via LeMat-Bulk, functional PBE.

Values from the calculation:
- E: -2.52 eV per atom
- E above lowest polymorph: 249 meV per atom
- DFT formation energy: 0.306 eV per atom

Cell lengths 7.434, 7.434, 7.434 Å; angles 125.60, 104.14, 100.00 degrees
Element x y z (fractional)
Cd 0.000 0.000 0.000
Hg 0.912 0.412 0.500
Pb 0.262 0.014 0.752
Pb 0.262 0.509 0.248
Pb 0.533 0.533 0.000
Pb 0.552 0.772 0.780
Pb 0.993 0.772 0.220

[2]
A geometry-optimized Cd5Hg2Pb2 structure. Source: Alexandria via LeMat-Bulk, functional PBE.

Values from the calculation:
- E: -1.36 eV per atom
- DFT formation energy: 0.037 eV per atom

Cell lengths 5.787, 6.060, 8.134 Å; angles 71.20, 69.62, 62.41 degrees
Element x y z (fractional)
Cd 0.000 0.000 0.000
Cd 0.208 0.858 0.341
Cd 0.392 0.794 0.663
Cd 0.608 0.206 0.337
Cd 0.792 0.142 0.659
Hg 0.162 0.402 0.652
Hg 0.838 0.598 0.348
Pb 0.325 0.322 0.028
Pb 0.675 0.678 0.972

[3]
A geometry-optimized Cd2Hg8Pb structure. Source: Alexandria via LeMat-Bulk, functional PBE.

Values from the calculation:
- E: -0.69 eV per atom
- E above lowest polymorph: 6 meV per atom
- DFT formation energy: 0.036 eV per atom

Cell lengths 5.334, 5.334, 10.633 Å; angles 90.00, 90.00, 90.00 degrees
Element x y z (fractional)
Cd 0.000 0.000 0.158
Cd 0.000 0.000 0.842
Hg 0.000 0.500 0.000
Hg 0.000 0.500 0.335
Hg 0.000 0.500 0.665
Hg 0.500 0.000 0.000
Hg 0.500 0.000 0.335
Hg 0.500 0.000 0.665
Hg 0.500 0.500 0.178
Hg 0.500 0.500 0.822
Pb 0.000 0.000 0.500

[4]
A geometry-optimized Cd5Hg3Pb2 structure. Source: Alexandria via LeMat-Bulk, functional PBE.

Values from the calculation:
- E: -1.26 eV per atom
- E above lowest polymorph: 0 meV per atom
- DFT formation energy: 0.032 eV per atom

Cell lengths 8.827, 8.827, 6.808 Å; angles 95.16, 95.16, 101.47 degrees
Element x y z (fractional)
Cd 0.037 0.963 0.750
Cd 0.210 0.292 0.001
Cd 0.232 0.519 0.372
Cd 0.292 0.210 0.501
Cd 0.481 0.768 0.128
Cd 0.519 0.232 0.872
Cd 0.708 0.790 0.499
Cd 0.768 0.481 0.628
Cd 0.790 0.708 0.999
Cd 0.963 0.037 0.250
Hg 0.015 0.727 0.380
Hg 0.273 0.985 0.120
Hg 0.458 0.542 0.750
Hg 0.542 0.458 0.250
Hg 0.727 0.015 0.880
Hg 0.985 0.273 0.620
Pb 0.125 0.628 0.879
Pb 0.372 0.875 0.621
Pb 0.628 0.125 0.379
Pb 0.875 0.372 0.121

[5]
A geometry-optimized CdHgPb2 structure. Source: Alexandria via LeMat-Bulk, functional PBE.

Values from the calculation:
- E: -2.11 eV per atom
- E above lowest polymorph: 21 meV per atom
- DFT formation energy: 0.044 eV per atom

Cell lengths 3.426, 3.426, 11.145 Å; angles 90.00, 90.00, 119.05 degrees
Element x y z (fractional)
Cd 0.000 0.000 0.000
Hg 0.500 0.500 0.773
Pb 0.000 0.000 0.522
Pb 0.500 0.500 0.248

[6]
A geometry-optimized CdHg4Pb5 structure. Source: Alexandria via LeMat-Bulk, functional PBE.

Values from the calculation:
- E: -2.04 eV per atom
- DFT formation energy: 0.031 eV per atom

Cell lengths 3.652, 3.652, 20.973 Å; angles 90.00, 90.00, 90.00 degrees
Element x y z (fractional)
Cd 0.000 0.000 0.000
Hg 0.000 0.000 0.201
Hg 0.000 0.000 0.400
Hg 0.000 0.000 0.600
Hg 0.000 0.000 0.799
Pb 0.500 0.500 0.099
Pb 0.500 0.500 0.301
Pb 0.500 0.500 0.500
Pb 0.500 0.500 0.699
Pb 0.500 0.500 0.901

[7]
A geometry-optimized Cd4Hg8Pb structure. Source: Alexandria via LeMat-Bulk, functional PBE.

Values from the calculation:
- E: -0.72 eV per atom
- E above lowest polymorph: 0 meV per atom
- DFT formation energy: 0.034 eV per atom

Cell lengths 8.599, 8.599, 14.524 Å; angles 120.57, 120.57, 21.81 degrees
Element x y z (fractional)
Cd 0.000 0.000 0.000
Cd 0.012 0.012 0.506
Cd 0.365 0.365 0.787
Cd 0.581 0.581 0.385
Hg 0.260 0.260 0.531
Hg 0.329 0.329 0.366
Hg 0.589 0.589 0.873
Hg 0.626 0.626 0.216
Hg 0.673 0.673 0.689
Hg 0.795 0.795 0.937
Hg 0.931 0.931 0.185
Hg 0.952 0.952 0.662
Pb 0.231 0.231 0.109

[8]
A geometry-optimized Cd4Hg8Pb3 structure. Source: Alexandria via LeMat-Bulk, functional PBE.

Values from the calculation:
- E: -1.08 eV per atom
- DFT formation energy: 0.071 eV per atom

Cell lengths 8.792, 8.792, 6.485 Å; angles 111.28, 111.28, 88.42 degrees
Element x y z (fractional)
Cd 0.000 0.000 0.000
Cd 0.000 0.000 0.500
Cd 0.000 0.500 0.000
Cd 0.500 0.000 0.000
Hg 0.244 0.756 0.500
Hg 0.246 0.246 0.488
Hg 0.261 0.739 0.000
Hg 0.262 0.262 0.982
Hg 0.738 0.738 0.018
Hg 0.739 0.261 0.000
Hg 0.754 0.754 0.512
Hg 0.756 0.244 0.500
Pb 0.000 0.500 0.500
Pb 0.500 0.000 0.500
Pb 0.500 0.500 0.500

[9]
A geometry-optimized Cd7Hg2Pb structure. Source: Alexandria via LeMat-Bulk, functional PBE.

Values from the calculation:
- E: -1.03 eV per atom
- E above lowest polymorph: 0 meV per atom
- DFT formation energy: 0.046 eV per atom

Cell lengths 11.777, 11.777, 11.777 Å; angles 156.42, 156.42, 33.60 degrees
Element x y z (fractional)
Cd 0.000 0.000 0.000
Cd 0.098 0.598 0.500
Cd 0.250 0.750 0.500
Cd 0.402 0.902 0.500
Cd 0.598 0.098 0.500
Cd 0.750 0.250 0.500
Cd 0.902 0.402 0.500
Hg 0.174 0.174 0.000
Hg 0.826 0.826 0.000
Pb 0.500 0.500 0.000

[10]
A geometry-optimized CdHg2Pb2 structure. Source: Alexandria via LeMat-Bulk, functional PBE.

Values from the calculation:
- E: -1.69 eV per atom
- E above lowest polymorph: 78 meV per atom
- DFT formation energy: 0.094 eV per atom

Cell lengths 8.437, 8.437, 4.160 Å; angles 90.00, 90.00, 90.00 degrees
Element x y z (fractional)
Cd 0.000 0.000 0.000
Cd 0.500 0.500 0.000
Hg 0.150 0.350 0.500
Hg 0.350 0.850 0.500
Hg 0.650 0.150 0.500
Hg 0.850 0.650 0.500
Pb 0.152 0.652 0.000
Pb 0.348 0.152 0.000
Pb 0.652 0.848 0.000
Pb 0.848 0.348 0.000

[11]
A geometry-optimized Cd5Hg3Pb12 structure. Source: Alexandria via LeMat-Bulk, functional PBE.

Values from the calculation:
- E: -2.32 eV per atom
- DFT formation energy: 0.175 eV per atom

Cell lengths 15.423, 15.423, 15.423 Å; angles 109.47, 109.47, 109.47 degrees
Element x y z (fractional)
Cd 0.000 0.000 0.000
Cd 0.000 0.000 0.500
Cd 0.000 0.500 0.000
Cd 0.000 0.500 0.500
Cd 0.125 0.750 0.875
Cd 0.125 0.875 0.250
Cd 0.250 0.125 0.875
Cd 0.250 0.625 0.375
Cd 0.375 0.250 0.625
Cd 0.375 0.625 0.750
Cd 0.500 0.000 0.000
Cd 0.500 0.000 0.500
Cd 0.500 0.500 0.000
Cd 0.500 0.500 0.500
Cd 0.625 0.375 0.250
Cd 0.625 0.750 0.375
Cd 0.750 0.375 0.625
Cd 0.750 0.875 0.125
Cd 0.875 0.125 0.750
Cd 0.875 0.250 0.125
Hg 0.125 0.250 0.375
Hg 0.125 0.375 0.750
Hg 0.250 0.375 0.125
Hg 0.250 0.875 0.625
Hg 0.375 0.125 0.250
Hg 0.375 0.750 0.125
Hg 0.625 0.250 0.875
Hg 0.625 0.875 0.750
Hg 0.750 0.125 0.375
Hg 0.750 0.625 0.875
Hg 0.875 0.625 0.250
Hg 0.875 0.750 0.625
Pb 0.066 0.231 0.135
Pb 0.066 0.335 0.931
Pb 0.069 0.635 0.404
Pb 0.069 0.934 0.665
Pb 0.096 0.731 0.665
Pb 0.096 0.865 0.431
Pb 0.135 0.066 0.231
Pb 0.135 0.569 0.904
Pb 0.165 0.231 0.596
Pb 0.165 0.434 0.569
Pb 0.231 0.135 0.066
Pb 0.231 0.596 0.165
Pb 0.269 0.335 0.904
Pb 0.269 0.434 0.365
Pb 0.335 0.904 0.269
Pb 0.335 0.931 0.066
Pb 0.365 0.269 0.434
Pb 0.365 0.596 0.931
Pb 0.404 0.069 0.635
Pb 0.404 0.835 0.769
Pb 0.431 0.096 0.865
Pb 0.431 0.835 0.566
Pb 0.434 0.365 0.269
Pb 0.434 0.569 0.165
Pb 0.566 0.431 0.835
Pb 0.566 0.635 0.731
Pb 0.569 0.165 0.434
Pb 0.569 0.904 0.135
Pb 0.596 0.165 0.231
Pb 0.596 0.931 0.365
Pb 0.635 0.404 0.069
Pb 0.635 0.731 0.566
Pb 0.665 0.069 0.934
Pb 0.665 0.096 0.731
Pb 0.731 0.566 0.635
Pb 0.731 0.665 0.096
Pb 0.769 0.404 0.835
Pb 0.769 0.865 0.934
Pb 0.835 0.566 0.431
Pb 0.835 0.769 0.404
Pb 0.865 0.431 0.096
Pb 0.865 0.934 0.769
Pb 0.904 0.135 0.569
Pb 0.904 0.269 0.335
Pb 0.931 0.066 0.335
Pb 0.931 0.365 0.596
Pb 0.934 0.665 0.069
Pb 0.934 0.769 0.865

[12]
A geometry-optimized Cd7Hg3Pb structure. Source: Alexandria via LeMat-Bulk, functional PBE.

Values from the calculation:
- E: -0.93 eV per atom
- E above lowest polymorph: 0 meV per atom
- DFT formation energy: 0.076 eV per atom

Cell lengths 7.585, 7.585, 5.928 Å; angles 110.85, 110.85, 93.76 degrees
Element x y z (fractional)
Cd 0.000 0.000 0.000
Cd 0.092 0.564 0.328
Cd 0.332 0.332 0.917
Cd 0.436 0.908 0.672
Cd 0.564 0.092 0.328
Cd 0.668 0.668 0.083
Cd 0.908 0.436 0.672
Hg 0.261 0.739 0.000
Hg 0.500 0.500 0.500
Hg 0.739 0.261 0.000
Pb 0.000 0.000 0.500

[13]
A geometry-optimized Cd4HgPb5 structure. Source: Alexandria via LeMat-Bulk, functional PBE.

Values from the calculation:
- E: -2.20 eV per atom
- DFT formation energy: 0.054 eV per atom

Cell lengths 8.464, 8.464, 9.815 Å; angles 96.78, 96.78, 23.73 degrees
Element x y z (fractional)
Cd 0.045 0.045 0.278
Cd 0.316 0.316 0.572
Cd 0.684 0.684 0.428
Cd 0.955 0.955 0.722
Hg 0.500 0.500 0.500
Pb 0.149 0.149 0.738
Pb 0.187 0.187 0.097
Pb 0.500 0.500 0.000
Pb 0.813 0.813 0.903
Pb 0.851 0.851 0.262

[14]
A geometry-optimized Cd8Hg4Pb structure. Source: Alexandria via LeMat-Bulk, functional PBE.

Values from the calculation:
- E: -0.90 eV per atom
- DFT formation energy: 0.040 eV per atom

Cell lengths 3.172, 4.764, 21.472 Å; angles 90.00, 90.00, 90.00 degrees
Element x y z (fractional)
Cd 0.000 0.000 0.000
Cd 0.000 0.000 0.258
Cd 0.000 0.500 0.462
Cd 0.000 0.500 0.751
Cd 0.500 0.000 0.118
Cd 0.500 0.000 0.700
Cd 0.500 0.500 0.312
Cd 0.500 0.500 0.609
Hg 0.000 0.000 0.555
Hg 0.000 0.500 0.165
Hg 0.500 0.000 0.403
Hg 0.500 0.500 0.940
Pb 0.000 0.000 0.847

[15]
A geometry-optimized Cd8Hg6Pb structure. Source: Alexandria via LeMat-Bulk, functional PBE.

Values from the calculation:
- E: -0.83 eV per atom
- E above lowest polymorph: 0 meV per atom
- DFT formation energy: 0.027 eV per atom

Cell lengths 7.565, 7.565, 7.565 Å; angles 71.32, 71.32, 71.32 degrees
Element x y z (fractional)
Cd 0.148 0.813 0.462
Cd 0.187 0.538 0.852
Cd 0.206 0.206 0.206
Cd 0.462 0.148 0.813
Cd 0.538 0.852 0.187
Cd 0.794 0.794 0.794
Cd 0.813 0.462 0.148
Cd 0.852 0.187 0.538
Hg 0.161 0.325 0.586
Hg 0.325 0.586 0.161
Hg 0.414 0.839 0.675
Hg 0.586 0.161 0.325
Hg 0.675 0.414 0.839
Hg 0.839 0.675 0.414
Pb 0.000 0.000 0.000

[16]
A geometry-optimized CdHg7Pb3 structure. Source: Alexandria via LeMat-Bulk, functional PBE.

Values from the calculation:
- E: -1.22 eV per atom
- DFT formation energy: 0.066 eV per atom

Cell lengths 8.005, 8.005, 5.657 Å; angles 109.82, 109.82, 87.55 degrees
Element x y z (fractional)
Cd 0.000 0.000 0.000
Hg 0.000 0.000 0.500
Hg 0.085 0.556 0.820
Hg 0.291 0.291 0.289
Hg 0.444 0.915 0.180
Hg 0.556 0.085 0.820
Hg 0.709 0.709 0.711
Hg 0.915 0.444 0.180
Pb 0.279 0.721 0.500
Pb 0.500 0.500 0.000
Pb 0.721 0.279 0.500

[17]
A geometry-optimized CdHgPb2 structure. Source: Alexandria via LeMat-Bulk, functional PBE.

Values from the calculation:
- E: -2.12 eV per atom
- E above lowest polymorph: 16 meV per atom
- DFT formation energy: 0.038 eV per atom

Cell lengths 6.113, 6.113, 6.113 Å; angles 135.22, 135.22, 65.19 degrees
Element x y z (fractional)
Cd 0.000 0.000 0.000
Hg 0.250 0.750 0.500
Pb 0.500 0.500 0.000
Pb 0.750 0.250 0.500

[18]
A geometry-optimized CdHg3Pb2 structure. Source: Alexandria via LeMat-Bulk, functional PBE.

Values from the calculation:
- E: -1.50 eV per atom
- E above lowest polymorph: 4 meV per atom
- DFT formation energy: 0.038 eV per atom

Cell lengths 3.344, 4.855, 10.063 Å; angles 90.00, 90.00, 90.00 degrees
Element x y z (fractional)
Cd 0.000 0.000 0.000
Hg 0.000 0.000 0.331
Hg 0.000 0.500 0.502
Hg 0.000 0.500 0.837
Pb 0.500 0.000 0.673
Pb 0.500 0.500 0.161

[19]
A geometry-optimized CdHg2Pb9 structure. Source: Alexandria via LeMat-Bulk, functional PBE.

Values from the calculation:
- E: -2.89 eV per atom
- DFT formation energy: 0.015 eV per atom

Cell lengths 4.911, 4.911, 14.784 Å; angles 90.00, 90.00, 90.00 degrees
Element x y z (fractional)
Cd 0.000 0.000 0.000
Hg 0.000 0.000 0.334
Hg 0.000 0.000 0.666
Pb 0.000 0.500 0.166
Pb 0.000 0.500 0.500
Pb 0.000 0.500 0.834
Pb 0.500 0.000 0.166
Pb 0.500 0.000 0.500
Pb 0.500 0.000 0.834
Pb 0.500 0.500 0.000
Pb 0.500 0.500 0.333
Pb 0.500 0.500 0.667